(1)
Compound: HfTe2As
Source: Alexandria
Functional: GGA-PBE
Structure: optimized geometry

Lattice parameters (Å, degrees): 7.8093 7.8093 6.8730 90.00 90.00 90.00
Sites, in units of the cell vectors:
Hf  0.0000  0.0000  0.0000
Hf  0.0000  0.5000  0.2500
Hf  0.5000  0.0000  0.7500
Hf  0.5000  0.5000  0.5000
Te  0.2473  0.2500  0.1250
Te  0.2500  0.7473  0.3750
Te  0.2500  0.7527  0.8750
Te  0.2527  0.2500  0.6250
Te  0.7473  0.7500  0.6250
Te  0.7500  0.2473  0.8750
Te  0.7500  0.2527  0.3750
Te  0.7527  0.7500  0.1250
As  0.0000  0.0000  0.5000
As  0.0000  0.5000  0.7500
As  0.5000  0.0000  0.2500
As  0.5000  0.5000  0.0000

Values from the calculation:
Uncorrected formation energy   79 meV per atom
M_tot   0.0000 μB per atom
Raw total energy   -82.277 eV per cell
Symmetry   I-42d (122)


(2)
Compound: HfTe2As
Source: Alexandria
Functional: GGA-PBE
Structure: optimized geometry

Lattice parameters (Å, degrees): 3.7757 3.7757 28.2039 90.00 90.00 120.00
Sites, in units of the cell vectors:
Hf  0.0000  0.0000  0.0000
Hf  0.3333  0.6667  0.6667
Hf  0.6667  0.3333  0.3333
Te  0.0000  0.0000  0.3995
Te  0.0000  0.0000  0.6005
Te  0.3333  0.6667  0.0662
Te  0.3333  0.6667  0.2672
Te  0.6667  0.3333  0.7328
Te  0.6667  0.3333  0.9338
As  0.0000  0.0000  0.5000
As  0.3333  0.6667  0.1667
As  0.6667  0.3333  0.8333

Values from the calculation:
Uncorrected formation energy   -203 meV per atom
M_tot   0.0000 μB per atom
Raw total energy   -65.097 eV per cell
Symmetry   R-3m (166)


(3)
Compound: Hf3Te3As
Source: Alexandria
Functional: GGA-PBE
Structure: optimized geometry

Lattice parameters (Å, degrees): 9.7283 9.7283 9.7283 109.47 109.47 109.47
Sites, in units of the cell vectors:
Hf  0.0152  0.0303  0.2652
Hf  0.0152  0.4848  0.7500
Hf  0.0303  0.2652  0.0152
Hf  0.2348  0.2652  0.7500
Hf  0.2348  0.4697  0.4848
Hf  0.2652  0.0152  0.0303
Hf  0.2652  0.7500  0.2348
Hf  0.4697  0.4848  0.2348
Hf  0.4848  0.2348  0.4697
Hf  0.4848  0.7500  0.0152
Hf  0.7500  0.0152  0.4848
Hf  0.7500  0.2348  0.2652
Te  0.2500  0.7573  0.7427
Te  0.2500  0.9927  0.5073
Te  0.5073  0.2500  0.9927
Te  0.5073  0.7573  0.5146
Te  0.5146  0.5073  0.7573
Te  0.7427  0.2500  0.7573
Te  0.7427  0.9927  0.9854
Te  0.7573  0.5146  0.5073
Te  0.7573  0.7427  0.2500
Te  0.9854  0.7427  0.9927
Te  0.9927  0.5073  0.2500
Te  0.9927  0.9854  0.7427
As  0.0000  0.2500  0.5000
As  0.2500  0.2500  0.2500
As  0.2500  0.5000  0.0000
As  0.5000  0.0000  0.2500

Values from the calculation:
Uncorrected formation energy   -838 meV per atom
M_tot   0.0000 μB per atom
Raw total energy   -199.190 eV per cell
Symmetry   I4_132 (214)


(4)
Compound: HfTe4As
Source: Alexandria
Functional: GGA-PBE
Structure: optimized geometry

Lattice parameters (Å, degrees): 7.0252 3.7616 7.2963 90.00 90.18 90.00
Sites, in units of the cell vectors:
Hf  0.0000  0.0000  0.0000
Te  0.2466  0.0000  0.3221
Te  0.2480  0.5000  0.8214
Te  0.7520  0.5000  0.1786
Te  0.7534  0.0000  0.6779
As  0.0000  0.5000  0.5000

Values from the calculation:
Uncorrected formation energy   -348 meV per atom
M_tot   0.0000 μB per atom
Raw total energy   -29.255 eV per cell
Symmetry   P2/m (10)


(5)
Compound: HfTeAs3
Source: Alexandria
Functional: GGA-PBE
Structure: optimized geometry

Lattice parameters (Å, degrees): 5.1425 5.1425 5.1425 90.00 90.00 90.00
Sites, in units of the cell vectors:
Hf  0.0000  0.0000  0.0000
Te  0.5000  0.5000  0.5000
As  0.0000  0.5000  0.5000
As  0.5000  0.0000  0.5000
As  0.5000  0.5000  0.0000

Values from the calculation:
Uncorrected formation energy   1065 meV per atom
M_tot   0.0000 μB per atom
Excess energy over the best structure of this formula in the dataset   761 meV per atom
Raw total energy   -21.717 eV per cell
Symmetry   Pm-3m (221)


(6)
Compound: HfThAs3
Source: Alexandria
Functional: GGA-PBE
Structure: optimized geometry

Lattice parameters (Å, degrees): 12.6477 6.0364 6.0428 90.00 90.00 90.00
Sites, in units of the cell vectors:
Hf  0.0804  0.2500  0.0000
Hf  0.0804  0.2500  0.5000
Hf  0.9196  0.7500  0.0000
Hf  0.9196  0.7500  0.5000
Th  0.3239  0.5070  0.2500
Th  0.3239  0.9930  0.7500
Th  0.6761  0.0070  0.2500
Th  0.6761  0.4930  0.7500
As  0.0836  0.6118  0.2500
As  0.0836  0.8882  0.7500
As  0.2409  0.0303  0.2500
As  0.2409  0.4697  0.7500
As  0.4987  0.2500  0.0000
As  0.4987  0.2500  0.5000
As  0.5013  0.7500  0.0000
As  0.5013  0.7500  0.5000
As  0.7591  0.5303  0.2500
As  0.7591  0.9697  0.7500
As  0.9164  0.1118  0.2500
As  0.9164  0.3882  0.7500

Values from the calculation:
M_tot   0.0000 μB per atom
Raw total energy   -143.830 eV per cell
Symmetry   Pbcm (57)
E_form   -927 meV per atom


(7)
Compound: HfTh3As4
Source: Alexandria
Functional: GGA-PBE
Structure: optimized geometry

Lattice parameters (Å, degrees): 7.2092 8.2536 7.2170 90.00 109.31 90.00
Sites, in units of the cell vectors:
Hf  0.0000  0.1256  0.2500
Hf  0.0000  0.8744  0.7500
Th  0.0000  0.3726  0.7500
Th  0.0000  0.6274  0.2500
Th  0.5000  0.1245  0.7500
Th  0.5000  0.3731  0.2500
Th  0.5000  0.6269  0.7500
Th  0.5000  0.8755  0.2500
As  0.2298  0.1136  0.9998
As  0.2298  0.8864  0.4998
As  0.2396  0.3649  0.4889
As  0.2396  0.6351  0.9889
As  0.7604  0.3649  0.0111
As  0.7604  0.6351  0.5111
As  0.7702  0.1136  0.5002
As  0.7702  0.8864  0.0002

Values from the calculation:
M_tot   0.0000 μB per atom
Raw total energy   -121.463 eV per cell
Symmetry   P2/c (13)
E_form   -1240 meV per atom


(8)
Compound: Hf2Ti2As
Source: Alexandria
Functional: GGA-PBE
Structure: optimized geometry

Lattice parameters (Å, degrees): 6.7076 6.7076 4.2505 90.00 90.00 90.00
Sites, in units of the cell vectors:
Hf  0.1629  0.3371  0.0000
Hf  0.3371  0.8371  0.0000
Hf  0.6629  0.1629  0.0000
Hf  0.8371  0.6629  0.0000
Ti  0.1395  0.6395  0.5000
Ti  0.3605  0.1395  0.5000
Ti  0.6395  0.8605  0.5000
Ti  0.8605  0.3605  0.5000
As  0.0000  0.0000  0.5000
As  0.5000  0.5000  0.5000

Values from the calculation:
M_tot   0.0000 μB per atom
Excess energy over the best structure of this formula in the dataset   0 meV per atom
Raw total energy   -82.560 eV per cell
Symmetry   P4/mbm (127)
E_form   -187 meV per atom


(9)
Compound: HfTi2As
Source: Alexandria
Functional: GGA-PBE
Structure: optimized geometry

Lattice parameters (Å, degrees): 7.6348 7.6348 5.3111 90.00 90.00 90.00
Sites, in units of the cell vectors:
Hf  0.0000  0.0000  0.0000
Hf  0.0000  0.5000  0.2500
Hf  0.5000  0.0000  0.7500
Hf  0.5000  0.5000  0.5000
Ti  0.1995  0.2500  0.6250
Ti  0.2500  0.6995  0.8750
Ti  0.2500  0.8005  0.3750
Ti  0.3005  0.2500  0.1250
Ti  0.6995  0.7500  0.1250
Ti  0.7500  0.1995  0.3750
Ti  0.7500  0.3005  0.8750
Ti  0.8005  0.7500  0.6250
As  0.0000  0.0000  0.5000
As  0.0000  0.5000  0.7500
As  0.5000  0.0000  0.2500
As  0.5000  0.5000  0.0000

Values from the calculation:
M_tot   0.0001 μB per atom
Raw total energy   -123.048 eV per cell
Symmetry   I-42d (122)
E_form   -92 meV per atom


(10)
Compound: Hf5Ti2As4
Source: Alexandria
Functional: GGA-PBE
Structure: optimized geometry

Lattice parameters (Å, degrees): 10.3156 10.3156 6.7190 92.99 92.99 18.70
Sites, in units of the cell vectors:
Hf  0.0000  0.0000  0.0000
Hf  0.3146  0.3146  0.5097
Hf  0.3514  0.3514  0.0289
Hf  0.6486  0.6486  0.9711
Hf  0.6854  0.6854  0.4903
Ti  0.4462  0.4462  0.3483
Ti  0.5538  0.5538  0.6517
As  0.2261  0.2261  0.2015
As  0.4333  0.4333  0.7260
As  0.5667  0.5667  0.2740
As  0.7739  0.7739  0.7985

Values from the calculation:
M_tot   0.0000 μB per atom
Raw total energy   -87.682 eV per cell
Symmetry   C2/m (12)
E_form   -321 meV per atom


(11)
Compound: HfTi4As2
Source: Alexandria
Functional: GGA-PBE
Structure: optimized geometry

Lattice parameters (Å, degrees): 4.6273 4.6273 13.7416 90.00 90.00 90.00
Sites, in units of the cell vectors:
Hf  0.0000  0.0000  0.0000
Hf  0.5000  0.5000  0.5000
Ti  0.0000  0.0000  0.1905
Ti  0.0000  0.0000  0.8095
Ti  0.0000  0.5000  0.0000
Ti  0.0000  0.5000  0.5000
Ti  0.5000  0.0000  0.0000
Ti  0.5000  0.0000  0.5000
Ti  0.5000  0.5000  0.3095
Ti  0.5000  0.5000  0.6905
As  0.0000  0.0000  0.3721
As  0.0000  0.0000  0.6279
As  0.5000  0.5000  0.1279
As  0.5000  0.5000  0.8721

Values from the calculation:
M_tot   0.3450 μB per atom
Raw total energy   -92.933 eV per cell
Symmetry   I4/mmm (139)
E_form   624 meV per atom


(12)
Compound: HfTiAs2
Source: Alexandria
Functional: GGA-PBE
Structure: optimized geometry

Lattice parameters (Å, degrees): 3.7325 3.7325 6.3299 90.00 90.00 120.00
Sites, in units of the cell vectors:
Hf  0.0000  0.0000  0.0000
Ti  0.0000  0.0000  0.5000
As  0.3333  0.6667  0.7371
As  0.6667  0.3333  0.2629

Values from the calculation:
M_tot   0.0000 μB per atom
Excess energy over the best structure of this formula in the dataset   0 meV per atom
Raw total energy   -30.923 eV per cell
Symmetry   P-3m1 (164)
E_form   -944 meV per atom